# 1
! Zn2CoAs | the Alexandria database | meta-GGA SCAN | single point on PBEsol structure; values from VASP
! - formation energy from the elements (eV per atom) = 0.11
! - mass density (g/cm3) = 8.11
! - N(E_F) (states/eV/cell) = 1.515
! - total magnetization (μB/cell) = 1.3
! - E_tot (eV per atom) = -16.020
! - symmetry = No. 65
&SYSTEM
  ibrav = 0, nat = 4, ntyp = 3
/
ATOMIC_SPECIES
As 74.92 As.upf
Co 58.93 Co.upf
Zn 65.41 Zn.upf
CELL_PARAMETERS angstrom
-2.849 0.257 -0.790
-1.223 -0.318 4.306
0.775 4.180 -1.438
ATOMIC_POSITIONS angstrom
As -1.425 0.128 -0.395
Co -1.648 2.059 1.039
Zn -0.611 -0.159 2.153
Zn 0.388 2.090 -0.719

# 2
! Sr4ZnSi | the Alexandria database | meta-GGA SCAN | single point on PBEsol structure; values from VASP
! - mass density (g/cm3) = 3.41
! - N(E_F) (states/eV/cell) = 3.063
! - total magnetization (μB/cell) = 2.0
! - E_tot (eV per atom) = -18.028
! - symmetry = No. 216
&SYSTEM
  ibrav = 0, nat = 6, ntyp = 3
/
ATOMIC_SPECIES
Si 28.09 Si.upf
Sr 87.62 Sr.upf
Zn 65.41 Zn.upf
CELL_PARAMETERS angstrom
-1.031 1.269 6.536
1.237 -4.771 4.595
5.248 0.628 4.179
ATOMIC_POSITIONS angstrom
Si 0.000 0.000 0.000
Sr 2.040 -1.075 5.727
Sr 4.683 -0.759 7.832
Sr 1.521 -0.436 9.019
Sr 2.663 -3.478 8.041
Zn 4.090 -2.155 11.482

# 3
! HfTa2SiNi | the Alexandria database | meta-GGA SCAN | single point on PBEsol structure; values from VASP
! - mass density (g/cm3) = 10.57
! - N(E_F) (states/eV/cell) = 3.435
! - total magnetization (μB/cell) = 0.0
! - E_tot (eV per atom) = -43.451
! - symmetry = No. 123
&SYSTEM
  ibrav = 0, nat = 5, ntyp = 4
/
ATOMIC_SPECIES
Ni 58.69 Ni.upf
Si 28.09 Si.upf
Hf 178.49 Hf.upf
Ta 180.95 Ta.upf
CELL_PARAMETERS angstrom
4.568 0.000 0.000
0.000 4.568 0.000
0.000 0.000 4.721
ATOMIC_POSITIONS angstrom
Ni 2.284 2.284 2.361
Si 0.000 0.000 0.000
Hf 0.000 0.000 2.361
Ta 0.000 2.284 0.000
Ta 2.284 0.000 0.000

# 4
! KCoSbI2 | the Alexandria database | meta-GGA SCAN | single point on PBEsol structure; values from VASP
! - mass density (g/cm3) = 5.30
! - N(E_F) (states/eV/cell) = 1.571
! - total magnetization (μB/cell) = 0.0
! - E_tot (eV per atom) = -27.482
! - symmetry = No. 123
&SYSTEM
  ibrav = 0, nat = 5, ntyp = 4
/
ATOMIC_SPECIES
I 126.90 I.upf
Sb 121.76 Sb.upf
K 39.10 K.upf
Co 58.93 Co.upf
CELL_PARAMETERS angstrom
4.686 0.000 0.000
0.000 5.627 0.000
0.000 0.000 5.627
ATOMIC_POSITIONS angstrom
I 0.000 0.000 2.814
I 0.000 2.814 0.000
Sb 2.343 0.000 0.000
K 2.343 2.814 2.814
Co 0.000 0.000 0.000

# 5
! NaLaS2 | the Alexandria database | meta-GGA SCAN | single point on PBEsol structure; values from VASP
! - mass density (g/cm3) = 3.90
! - total magnetization (μB/cell) = 0.0
! - E_tot (eV per atom) = -18.705
! - symmetry = No. 123
&SYSTEM
  ibrav = 0, nat = 4, ntyp = 3
/
ATOMIC_SPECIES
Na 22.99 Na.upf
S 32.06 S.upf
La 138.91 La.upf
CELL_PARAMETERS angstrom
4.145 0.000 0.000
0.000 4.145 0.000
0.000 0.000 5.604
ATOMIC_POSITIONS angstrom
Na 0.000 0.000 0.000
S 0.000 0.000 2.802
S 2.073 2.073 0.000
La 2.073 2.073 2.802

# 6
! Ta2BeCd | the Alexandria database | meta-GGA SCAN | single point on PBEsol structure; values from VASP
! - formation energy from the elements (eV per atom) = 0.30
! - mass density (g/cm3) = 12.70
! - N(E_F) (states/eV/cell) = 1.965
! - total magnetization (μB/cell) = 0.0
! - E_tot (eV per atom) = -41.684
! - polymorph energy (0 for the lowest one) (kJ/mol of atoms) = 14.8
! - symmetry = No. 44
&SYSTEM
  ibrav = 0, nat = 4, ntyp = 3
/
ATOMIC_SPECIES
Be 9.01 Be.upf
Cd 112.41 Cd.upf
Ta 180.95 Ta.upf
CELL_PARAMETERS angstrom
2.918 0.000 0.000
0.000 4.750 0.000
-1.459 -2.375 4.559
ATOMIC_POSITIONS angstrom
Be 1.459 2.375 0.041
Cd 0.000 2.375 1.988
Ta 0.000 0.000 0.009
Ta 1.459 0.000 2.521

# 7
! Ba2Mg | the Alexandria database | meta-GGA SCAN | single point on PBEsol structure; values from VASP
! - formation energy from the elements (eV per atom) = 0.02
! - mass density (g/cm3) = 3.45
! - N(E_F) (states/eV/cell) = 6.427
! - total magnetization (μB/cell) = 0.1
! - E_tot (eV per atom) = -28.009
! - symmetry = No. 141
&SYSTEM
  ibrav = 0, nat = 6, ntyp = 2
/
ATOMIC_SPECIES
Mg 24.30 Mg.upf
Ba 137.33 Ba.upf
CELL_PARAMETERS angstrom
-2.463 -2.325 2.500
2.199 -3.439 -1.032
10.204 5.589 11.707
ATOMIC_POSITIONS angstrom
Mg 0.000 0.000 0.000
Mg 6.135 -0.366 5.705
Ba 2.475 -0.166 5.829
Ba 5.134 0.548 9.113
Ba 8.743 2.350 10.800
Ba 1.197 -2.525 2.376

# 8
! Mg2BiO | the Alexandria database | meta-GGA SCAN | single point on PBEsol structure; values from VASP
! - mass density (g/cm3) = 6.02
! - N(E_F) (states/eV/cell) = 2.174
! - total magnetization (μB/cell) = 1.0
! - E_tot (eV per atom) = -23.925
! - symmetry = No. 225
&SYSTEM
  ibrav = 0, nat = 4, ntyp = 3
/
ATOMIC_SPECIES
Mg 24.30 Mg.upf
Bi 208.98 Bi.upf
O 16.00 O.upf
CELL_PARAMETERS angstrom
4.744 0.000 0.000
2.372 4.108 0.000
2.372 1.369 3.873
ATOMIC_POSITIONS angstrom
Mg 2.372 1.369 0.968
Mg 7.116 4.108 2.905
Bi 4.744 2.739 1.937
O 0.000 0.000 0.000

# 9
! TlReBr | the Alexandria database | meta-GGA SCAN | single point on PBEsol structure; values from VASP
! - mass density (g/cm3) = 11.94
! - N(E_F) (states/eV/cell) = 1.425
! - total magnetization (μB/cell) = 0.0
! - E_tot (eV per atom) = -53.236
! - polymorph energy (0 for the lowest one) (kJ/mol of atoms) = 16.6
! - symmetry = No. 107
&SYSTEM
  ibrav = 0, nat = 3, ntyp = 3
/
ATOMIC_SPECIES
Re 186.21 Re.upf
Tl 204.38 Tl.upf
Br 79.90 Br.upf
CELL_PARAMETERS angstrom
-1.039 -1.965 -2.125
2.411 -1.837 0.521
-4.291 -1.452 5.666
ATOMIC_POSITIONS angstrom
Re -0.337 -2.852 0.577
Tl -2.236 -2.079 3.016
Br -0.347 -0.323 0.469

# 10
! CoReTc | the Alexandria database | meta-GGA SCAN | single point on PBEsol structure; values from VASP
! - formation energy from the elements (eV per atom) = 0.18
! - mass density (g/cm3) = 14.50
! - N(E_F) (states/eV/cell) = 2.357
! - total magnetization (μB/cell) = 1.9
! - E_tot (eV per atom) = -40.976
! - polymorph energy (0 for the lowest one) (kJ/mol of atoms) = 10.2
! - symmetry = No. 156
&SYSTEM
  ibrav = 0, nat = 3, ntyp = 3
/
ATOMIC_SPECIES
Co 58.93 Co.upf
Re 186.21 Re.upf
Tc 98.00 Tc.upf
CELL_PARAMETERS angstrom
-1.765 1.949 0.419
-0.645 -2.523 0.557
2.232 0.743 5.951
ATOMIC_POSITIONS angstrom
Co 0.002 0.001 0.004
Re 0.489 -0.530 4.529
Tc -0.669 0.699 2.392

# 11
! TiAuO3 | the Alexandria database | meta-GGA SCAN | single point on PBEsol structure; values from VASP
! - mass density (g/cm3) = 7.64
! - N(E_F) (states/eV/cell) = 4.235
! - total magnetization (μB/cell) = 1.7
! - E_tot (eV per atom) = -21.079
! - symmetry = No. 221
&SYSTEM
  ibrav = 0, nat = 5, ntyp = 3
/
ATOMIC_SPECIES
Au 196.97 Au.upf
O 16.00 O.upf
Ti 47.87 Ti.upf
CELL_PARAMETERS angstrom
-3.036 -1.754 -1.911
2.208 -3.291 -0.489
-1.360 -1.428 3.472
ATOMIC_POSITIONS angstrom
Au 0.000 0.000 0.000
O 1.104 -1.646 -0.244
O -0.680 -0.714 1.736
O -1.518 -0.877 -0.956
Ti -1.094 -3.237 0.536

# 12
! AuSeN2F | the Alexandria database | meta-GGA SCAN | single point on PBEsol structure; values from VASP
! - mass density (g/cm3) = 8.06
! - N(E_F) (states/eV/cell) = 2.690
! - total magnetization (μB/cell) = 1.1
! - E_tot (eV per atom) = -20.769
! - symmetry = No. 123
&SYSTEM
  ibrav = 0, nat = 5, ntyp = 4
/
ATOMIC_SPECIES
N 14.01 N.upf
Au 196.97 Au.upf
Se 78.96 Se.upf
F 19.00 F.upf
CELL_PARAMETERS angstrom
-2.715 -2.742 1.130
2.665 -1.584 2.560
-1.331 2.534 2.954
ATOMIC_POSITIONS angstrom
N 1.333 -0.792 1.280
N -1.357 -1.371 0.565
Au 0.000 0.000 0.000
Se -0.690 -0.896 3.322
F -0.665 1.267 1.477